No. 1
Computed, not measured: a relaxed structure of Ta2BeSb at the PBE level of DFT.

```
data_Ta2BeSb
_chemical_formula_sum 'Ta4 Be2 Sb2'
_symmetry_space_group_name_H-M 'C 1 2/m 1'
_symmetry_Int_Tables_number 12
_cell_length_a 9.479
_cell_length_b 3.500
_cell_length_c 4.665
_cell_angle_alpha 90.00
_cell_angle_beta 119.38
_cell_angle_gamma 90.00
loop_
_symmetry_equiv_pos_as_xyz
'x,y,z'
'-x,-y,-z'
'-x,y,-z'
'x,-y,z'
'x+1/2,y+1/2,z'
'-x+1/2,-y+1/2,-z'
'-x+1/2,y+1/2,-z'
'x+1/2,-y+1/2,z'
loop_
_atom_site_label
_atom_site_fract_x
_atom_site_fract_y
_atom_site_fract_z
Ta1 0.228 0.000 0.228
Be1 0.000 0.500 0.000
Sb1 0.000 0.000 0.500
```

Properties
Relative energy among the computed polymorphs, meV/atom: 48
Calculated density, Mg/m³: 12.1
Crystal system: monoclinic
Formation energy without anion corrections, eV per atom: 0.145
Total magnetic moment, μB per formula unit: 0.00

No. 2
Computed, not measured: a relaxed structure of Ta2BeSb at the PBE level of DFT.

```
data_Ta2BeSb
_chemical_formula_sum 'Ta4 Be2 Sb2'
_symmetry_space_group_name_H-M 'C 1 m 1'
_symmetry_Int_Tables_number 8
_cell_length_a 10.122
_cell_length_b 3.021
_cell_length_c 4.704
_cell_angle_alpha 90.00
_cell_angle_beta 107.29
_cell_angle_gamma 90.00
loop_
_symmetry_equiv_pos_as_xyz
'x,y,z'
'x,-y,z'
'x+1/2,y+1/2,z'
'x+1/2,-y+1/2,z'
loop_
_atom_site_label
_atom_site_fract_x
_atom_site_fract_y
_atom_site_fract_z
Ta1 0.000 0.000 0.000
Ta2 0.192 0.000 0.618
Be1 0.225 0.500 0.114
Sb1 0.433 0.000 0.449
```

Properties
Relative energy among the computed polymorphs, meV/atom: 197
Calculated density, Mg/m³: 11.9
Crystal system: monoclinic
Formation energy without anion corrections, eV per atom: 0.294
Total magnetic moment, μB per formula unit: 0.00

No. 3
Computed, not measured: a relaxed structure of TaBeSb at the PBE level of DFT.

```
data_TaBeSb
_chemical_formula_sum 'Ta4 Be4 Sb4'
_symmetry_space_group_name_H-M 'F -4 3 m'
_symmetry_Int_Tables_number 216
_symmetry_space_group_name_Hall 'F -4 2 3'
_cell_length_a 6.302
_cell_length_b 6.302
_cell_length_c 6.302
_cell_angle_alpha 90.00
_cell_angle_beta 90.00
_cell_angle_gamma 90.00
loop_
_atom_site_label
_atom_site_fract_x
_atom_site_fract_y
_atom_site_fract_z
Ta1 0.000 0.000 0.000
Be1 0.250 0.250 0.250
Sb1 0.250 0.250 0.750
```

Properties
Relative energy among the computed polymorphs, meV/atom: 579
Calculated density, Mg/m³: 8.3
Crystal system: cubic
Formation energy without anion corrections, eV per atom: 0.828
Total magnetic moment, μB per formula unit: 0.00

No. 4
Computed, not measured: a relaxed structure of TaBe4Sb at the PBE level of DFT.

```
data_TaBe4Sb
_chemical_formula_sum 'Ta4 Be16 Sb4'
_symmetry_space_group_name_H-M 'F -4 3 m'
_symmetry_Int_Tables_number 216
_symmetry_space_group_name_Hall 'F -4 2 3'
_cell_length_a 6.667
_cell_length_b 6.667
_cell_length_c 6.667
_cell_angle_alpha 90.00
_cell_angle_beta 90.00
_cell_angle_gamma 90.00
loop_
_atom_site_label
_atom_site_fract_x
_atom_site_fract_y
_atom_site_fract_z
Ta1 0.000 0.000 0.000
Be1 0.131 0.131 0.631
Sb1 0.250 0.250 0.250
```

Properties
Calculated density, Mg/m³: 7.6
Crystal system: cubic
Formation energy without anion corrections, eV per atom: 0.259
Total magnetic moment, μB per formula unit: 0.00

No. 5
Computed, not measured: a relaxed structure of TaBeSb at the PBE level of DFT.

```
data_TaBeSb
_chemical_formula_sum 'Ta2 Be2 Sb2'
_symmetry_space_group_name_H-M 'I 4 m m'
_symmetry_Int_Tables_number 107
_symmetry_space_group_name_Hall 'I 4 -2'
_cell_length_a 3.357
_cell_length_b 3.357
_cell_length_c 9.039
_cell_angle_alpha 90.00
_cell_angle_beta 90.00
_cell_angle_gamma 90.00
loop_
_atom_site_label
_atom_site_fract_x
_atom_site_fract_y
_atom_site_fract_z
Ta1 0.000 0.000 0.000
Be1 0.000 0.000 0.374
Sb1 0.000 0.000 0.686
```

Properties
Relative energy among the computed polymorphs, meV/atom: 0
Calculated density, Mg/m³: 10.2
Crystal system: tetragonal
Formation energy without anion corrections, eV per atom: 0.249
Total magnetic moment, μB per formula unit: 0.00

No. 6
Computed, not measured: a relaxed structure of Ta3BeSb at the PBE level of DFT.

```
data_Ta3BeSb
_chemical_formula_sum 'Ta3 Be1 Sb1'
_symmetry_space_group_name_H-M 'P m -3 m'
_symmetry_Int_Tables_number 221
_symmetry_space_group_name_Hall '-P 4 2 3'
_cell_length_a 4.459
_cell_length_b 4.459
_cell_length_c 4.459
_cell_angle_alpha 90.00
_cell_angle_beta 90.00
_cell_angle_gamma 90.00
loop_
_atom_site_label
_atom_site_fract_x
_atom_site_fract_y
_atom_site_fract_z
Ta1 0.000 0.000 0.500
Be1 0.000 0.000 0.000
Sb1 0.500 0.500 0.500
```

Properties
Relative energy among the computed polymorphs, meV/atom: 0
Calculated density, Mg/m³: 12.6
Crystal system: cubic
Formation energy without anion corrections, eV per atom: 0.514
Total magnetic moment, μB per formula unit: 0.00

No. 7
Computed, not measured: a relaxed structure of Ta2BeSb at the PBE level of DFT.

```
data_Ta2BeSb
_chemical_formula_sum 'Ta4 Be2 Sb2'
_symmetry_space_group_name_H-M 'C m m m'
_symmetry_Int_Tables_number 65
_symmetry_space_group_name_Hall '-C 2 2'
_cell_length_a 3.806
_cell_length_b 4.760
_cell_length_c 7.505
_cell_angle_alpha 90.00
_cell_angle_beta 90.00
_cell_angle_gamma 90.00
loop_
_atom_site_label
_atom_site_fract_x
_atom_site_fract_y
_atom_site_fract_z
Ta1 0.000 0.000 0.207
Be1 0.000 0.500 0.000
Sb1 0.000 0.500 0.500
```

Properties
Relative energy among the computed polymorphs, meV/atom: 123
Calculated density, Mg/m³: 12.0
Crystal system: orthorhombic
Formation energy without anion corrections, eV per atom: 0.220
Total magnetic moment, μB per formula unit: 0.00

No. 8
Computed, not measured: a relaxed structure of TaBe3Sb at the PBE level of DFT.

```
data_TaBe3Sb
_chemical_formula_sum 'Ta1 Be3 Sb1'
_symmetry_space_group_name_H-M 'P m -3 m'
_symmetry_Int_Tables_number 221
_symmetry_space_group_name_Hall '-P 4 2 3'
_cell_length_a 4.545
_cell_length_b 4.545
_cell_length_c 4.545
_cell_angle_alpha 90.00
_cell_angle_beta 90.00
_cell_angle_gamma 90.00
loop_
_atom_site_label
_atom_site_fract_x
_atom_site_fract_y
_atom_site_fract_z
Ta1 0.000 0.000 0.000
Be1 0.000 0.000 0.500
Sb1 0.500 0.500 0.500
```

Properties
Relative energy among the computed polymorphs, meV/atom: 0
Calculated density, Mg/m³: 5.8
Crystal system: cubic
Formation energy without anion corrections, eV per atom: 1.410
Total magnetic moment, μB per formula unit: 0.00

No. 9
Computed, not measured: a relaxed structure of Ta2BeSb at the PBE level of DFT.

```
data_Ta2BeSb
_chemical_formula_sum 'Ta6 Be3 Sb3'
_symmetry_space_group_name_H-M 'R 3 m'
_symmetry_Int_Tables_number 160
_symmetry_space_group_name_Hall 'R 3 -2"'
_cell_length_a 3.0515
_cell_length_b 3.0515
_cell_length_c 27.1797
_cell_angle_alpha 90.00
_cell_angle_beta 90.00
_cell_angle_gamma 120.00
loop_
_atom_site_label
_atom_site_fract_x
_atom_site_fract_y
_atom_site_fract_z
Ta1 0.0000 0.0000 0.0000
Ta2 0.0000 0.0000 0.2440
Be1 0.0000 0.0000 0.5055
Sb1 0.0000 0.0000 0.7556
```

Properties
Relative energy among the computed polymorphs, meV/atom: 383
Calculated density, Mg/m³: 11.2
Crystal system: trigonal
Formation energy without anion corrections, eV per atom: 0.480
Total magnetic moment, μB per formula unit: 0.00

No. 10
Computed, not measured: a relaxed structure of Ta2BeSb at the PBE level of DFT.

```
data_Ta2BeSb
_chemical_formula_sum 'Ta4 Be2 Sb2'
_symmetry_space_group_name_H-M 'I -4 m 2'
_symmetry_Int_Tables_number 119
_symmetry_space_group_name_Hall 'I -4 -2'
_cell_length_a 3.980
_cell_length_b 3.980
_cell_length_c 8.661
_cell_angle_alpha 90.00
_cell_angle_beta 90.00
_cell_angle_gamma 90.00
loop_
_atom_site_label
_atom_site_fract_x
_atom_site_fract_y
_atom_site_fract_z
Ta1 0.000 0.000 0.000
Ta2 0.000 0.500 0.250
Be1 0.000 0.500 0.750
Sb1 0.000 0.000 0.500
```

Properties
Relative energy among the computed polymorphs, meV/atom: 159
Calculated density, Mg/m³: 11.9
Crystal system: tetragonal
Formation energy without anion corrections, eV per atom: 0.256
Total magnetic moment, μB per formula unit: 0.00

Copy entry 5 word for word.
Computed, not measured: a relaxed structure of TaBeSb at the PBE level of DFT.

```
data_TaBeSb
_chemical_formula_sum 'Ta2 Be2 Sb2'
_symmetry_space_group_name_H-M 'I 4 m m'
_symmetry_Int_Tables_number 107
_symmetry_space_group_name_Hall 'I 4 -2'
_cell_length_a 3.357
_cell_length_b 3.357
_cell_length_c 9.039
_cell_angle_alpha 90.00
_cell_angle_beta 90.00
_cell_angle_gamma 90.00
loop_
_atom_site_label
_atom_site_fract_x
_atom_site_fract_y
_atom_site_fract_z
Ta1 0.000 0.000 0.000
Be1 0.000 0.000 0.374
Sb1 0.000 0.000 0.686
```

Properties
Relative energy among the computed polymorphs, meV/atom: 0
Calculated density, Mg/m³: 10.2
Crystal system: tetragonal
Formation energy without anion corrections, eV per atom: 0.249
Total magnetic moment, μB per formula unit: 0.00

Copy entry 8 word for word.
Computed, not measured: a relaxed structure of TaBe3Sb at the PBE level of DFT.

```
data_TaBe3Sb
_chemical_formula_sum 'Ta1 Be3 Sb1'
_symmetry_space_group_name_H-M 'P m -3 m'
_symmetry_Int_Tables_number 221
_symmetry_space_group_name_Hall '-P 4 2 3'
_cell_length_a 4.545
_cell_length_b 4.545
_cell_length_c 4.545
_cell_angle_alpha 90.00
_cell_angle_beta 90.00
_cell_angle_gamma 90.00
loop_
_atom_site_label
_atom_site_fract_x
_atom_site_fract_y
_atom_site_fract_z
Ta1 0.000 0.000 0.000
Be1 0.000 0.000 0.500
Sb1 0.500 0.500 0.500
```

Properties
Relative energy among the computed polymorphs, meV/atom: 0
Calculated density, Mg/m³: 5.8
Crystal system: cubic
Formation energy without anion corrections, eV per atom: 1.410
Total magnetic moment, μB per formula unit: 0.00

Q: Which value of calculated density does entry 10 give?
A: 11.9 Mg/m³